DFT (GGA+U) results for crystalline LiV2O3F3 at its relaxed geometry.

## Properties
Offset from the most stable computed form ... 5 meV/atom
Total magnetization ... 2.00 μB/cell

CIF file:
```
data_LiV2O3F3
_cell_length_a 5.077
_cell_length_b 5.137
_cell_length_c 5.262
_cell_angle_alpha 92.44
_cell_angle_beta 115.47
_cell_angle_gamma 118.50
_symmetry_space_group_name_H-M 'P 1'
_symmetry_Int_Tables_number 1
_symmetry_space_group_name_Hall 'P 1'
loop_
_atom_site_label
_atom_site_fract_x
_atom_site_fract_y
_atom_site_fract_z
Li1 0.000 0.000 0.000
V1 0.392 0.675 0.155
V2 0.406 0.205 0.630
O1 0.292 0.444 0.365
O2 0.302 0.331 0.874
O3 0.465 0.036 0.366
F1 0.544 0.947 0.889
F2 0.893 0.841 0.368
F3 0.911 0.579 0.868
```